w) Computed, not measured: a relaxed structure of ScNbCoSe at the PBE level of DFT.

Computed properties:
Size of the total moment   0.00 μB per formula unit
Space group   Amm2, No. 38

Cell: 3.6958 5.3565 5.3565 Å, 38.17 90.00 90.00°
Atoms (fractional coordinates):
Sc 0.0000 0.0000 0.0000
Nb 0.5000 0.6926 0.6926
Co 0.5000 0.4314 0.4314
Se 0.0000 0.2775 0.2775

x) Computed, not measured: a relaxed structure of ScNbCoSe at the PBE level of DFT.

Computed properties:
Size of the total moment   0.45 μB per formula unit
Space group   Cm, No. 8

Cell: 5.1823 5.1823 4.2364 Å, 96.08 96.08 36.14°
Atoms (fractional coordinates):
Sc 0.0000 0.0000 0.0000
Nb 0.7159 0.7159 0.5672
Co 0.4621 0.4621 0.4880
Se 0.2737 0.2737 0.0728

Short version: x) is the least stable of them.

w) Computed, not measured: a relaxed structure of ScNbCoSe at the PBE level of DFT.

Computed properties:
Size of the total moment   0.00 μB per formula unit
Space group   P4mm, No. 99

Cell: 3.6417 3.6417 5.3642 Å, 90.00 90.00 90.00°
Atoms (fractional coordinates):
Sc 0.0000 0.0000 0.0000
Nb 0.5000 0.5000 0.5034
Co 0.0000 0.0000 0.5025
Se 0.5000 0.5000 0.0042

x) Computed, not measured: a relaxed structure of ScNbCoSe at the PBE level of DFT.

Computed properties:
Size of the total moment   0.00 μB per formula unit
Space group   R3m, No. 160

Cell: 6.9300 6.9300 6.9300 Å, 29.75 29.75 29.75°
Atoms (fractional coordinates):
Sc 0.0000 0.0000 0.0000
Nb 0.1871 0.1871 0.1871
Co 0.5852 0.5852 0.5852
Se 0.4287 0.4287 0.4287

Short version: w) is the least stable of them.

w) Computed, not measured: a relaxed structure of ScNbCoSe at the PBE level of DFT.

Computed properties:
Size of the total moment   0.00 μB per formula unit
Space group   P3m1, No. 156

Cell: 3.5833 3.5833 6.6056 Å, 90.00 90.00 120.00°
Atoms (fractional coordinates):
Sc 0.0000 0.0000 0.0000
Nb 0.6667 0.3333 0.4292
Co 0.3333 0.6667 0.2409
Se 0.3333 0.6667 0.7083

x) Computed, not measured: a relaxed structure of ScNbCoSe at the PBE level of DFT.

Computed properties:
Size of the total moment   0.00 μB per formula unit
Space group   Pm, No. 6

Cell: 3.5465 3.8121 5.1439 Å, 90.00 110.05 90.00°
Atoms (fractional coordinates):
Sc 0.0000 0.0000 0.0000
Nb 0.3018 0.5000 0.6020
Co 0.7494 0.0000 0.4677
Se 0.5783 0.5000 0.1577

Short version: w) is the least stable of them.

w) Computed, not measured: a relaxed structure of ScNbCoTc at the PBE level of DFT.

Computed properties:
Size of the total moment   0.01 μB per formula unit
Space group   P4mm, No. 99

Cell: 3.1771 3.1771 6.2821 Å, 90.00 90.00 90.00°
Atoms (fractional coordinates):
Sc 0.0000 0.0000 0.0000
Nb 0.0000 0.0000 0.4926
Co 0.5000 0.5000 0.2587
Tc 0.5000 0.5000 0.7280

x) Computed, not measured: a relaxed structure of ScNbCoTc at the PBE level of DFT.

Computed properties:
Size of the total moment   0.25 μB per formula unit
Space group   F-43m, No. 216

Cell: 4.4575 4.4575 4.4575 Å, 60.00 60.00 60.00°
Atoms (fractional coordinates):
Sc 0.0000 0.0000 0.0000
Nb 0.5000 0.5000 0.5000
Co 0.2500 0.2500 0.2500
Tc 0.7500 0.7500 0.7500

Short version: x) is the least stable of them.

w) Computed, not measured: a relaxed structure of Nb2Co2Se at the PBE level of DFT.

Computed properties:
Size of the total moment   0.00 μB per formula unit
Space group   P4/mbm, No. 127

Cell: 6.7189 6.7189 3.3337 Å, 90.00 90.00 90.00°
Atoms (fractional coordinates):
Nb 0.1643 0.3357 0.0000
Nb 0.3357 0.8357 0.0000
Nb 0.6643 0.1643 0.0000
Nb 0.8357 0.6643 0.0000
Co 0.1275 0.6275 0.5000
Co 0.3725 0.1275 0.5000
Co 0.6275 0.8725 0.5000
Co 0.8725 0.3725 0.5000
Se 0.0000 0.0000 0.5000
Se 0.5000 0.5000 0.5000

x) Computed, not measured: a relaxed structure of Nb2Co2Se at the PBE level of DFT.

Computed properties:
Size of the total moment   0.00 μB per formula unit
Space group   I4/mmm, No. 139

Cell: 5.6374 5.6374 5.6374 Å, 136.19 136.19 63.68°
Atoms (fractional coordinates):
Nb 0.2500 0.7500 0.5000
Nb 0.7500 0.2500 0.5000
Co 0.1154 0.1154 0.0000
Co 0.8846 0.8846 0.0000
Se 0.5000 0.5000 0.0000

Short version: x) is the least stable of them.

w) Computed, not measured: a relaxed structure of Nb3CoSe at the PBE level of DFT.

Computed properties:
Size of the total moment   0.00 μB per formula unit
Space group   Pm-3m, No. 221

Cell: 4.6970 4.6970 4.6970 Å, 90.00 90.00 90.00°
Atoms (fractional coordinates):
Nb 0.0000 0.0000 0.5000
Nb 0.0000 0.5000 0.0000
Nb 0.5000 0.0000 0.0000
Co 0.5000 0.5000 0.5000
Se 0.0000 0.0000 0.0000

x) Computed, not measured: a relaxed structure of Nb3CoSe at the PBE level of DFT.

Computed properties:
Size of the total moment   0.00 μB per formula unit
Space group   Pm-3m, No. 221

Cell: 4.6300 4.6300 4.6300 Å, 90.00 90.00 90.00°
Atoms (fractional coordinates):
Nb 0.0000 0.0000 0.5000
Nb 0.0000 0.5000 0.0000
Nb 0.5000 0.0000 0.0000
Co 0.0000 0.0000 0.0000
Se 0.5000 0.5000 0.5000

Short version: w) is the least stable of them.

w) Computed, not measured: a relaxed structure of NbCo3Si at the PBE level of DFT.

Computed properties:
Size of the total moment   0.65 μB per formula unit
Space group   Imma, No. 74

Cell: 5.7379 5.7379 5.7379 Å, 131.75 110.60 88.98°
Atoms (fractional coordinates):
Nb 0.2562 0.0062 0.2500
Nb 0.7438 0.9938 0.7500
Co 0.1907 0.0000 0.6907
Co 0.1907 0.5000 0.1907
Co 0.4330 0.6830 0.7500
Co 0.5670 0.3170 0.2500
Co 0.8093 0.0000 0.3093
Co 0.8093 0.5000 0.8093
Si 0.0000 0.5000 0.5000
Si 0.5000 0.5000 0.0000

x) Computed, not measured: a relaxed structure of NbCo3Si at the PBE level of DFT.

Computed properties:
Size of the total moment   1.16 μB per formula unit
Space group   Pm-3m, No. 221

Cell: 4.4452 4.4452 4.4452 Å, 90.00 90.00 90.00°
Atoms (fractional coordinates):
Nb 0.0000 0.0000 0.0000
Co 0.0000 0.0000 0.5000
Co 0.0000 0.5000 0.0000
Co 0.5000 0.0000 0.0000
Si 0.5000 0.5000 0.5000

Short version: x) is the least stable of them.

w) Computed, not measured: a relaxed structure of NbCo4Si2 at the PBE level of DFT.

Computed properties:
Size of the total moment   1.98 μB per formula unit
Space group   P4_2/mnm, No. 136

Cell: 6.8285 6.8285 3.6305 Å, 90.00 90.00 90.00°
Atoms (fractional coordinates):
Nb 0.0000 0.0000 0.0000
Nb 0.5000 0.5000 0.5000
Co 0.0868 0.3470 0.5000
Co 0.1530 0.5868 0.0000
Co 0.3470 0.0868 0.5000
Co 0.4132 0.8470 0.0000
Co 0.5868 0.1530 0.0000
Co 0.6530 0.9132 0.5000
Co 0.8470 0.4132 0.0000
Co 0.9132 0.6530 0.5000
Si 0.2197 0.7803 0.5000
Si 0.2803 0.2803 0.0000
Si 0.7197 0.7197 0.0000
Si 0.7803 0.2197 0.5000

x) Computed, not measured: a relaxed structure of NbCo4Si2 at the PBE level of DFT.

Computed properties:
Size of the total moment   4.02 μB per formula unit
Space group   Immm, No. 71

Cell: 8.9656 8.9656 8.9656 Å, 163.12 155.49 29.91°
Atoms (fractional coordinates):
Nb 0.0000 0.0000 0.0000
Co 0.1446 0.1446 0.0000
Co 0.2689 0.7689 0.5000
Co 0.7311 0.2311 0.5000
Co 0.8554 0.8554 0.0000
Si 0.3921 0.3921 0.0000
Si 0.6079 0.6079 0.0000

Short version: x) is the least stable of them.

w) Computed, not measured: a relaxed structure of Nb3CoSn at the PBE level of DFT.

Computed properties:
Size of the total moment   0.00 μB per formula unit
Space group   Pm-3m, No. 221

Cell: 4.9927 4.9927 4.9927 Å, 90.00 90.00 90.00°
Atoms (fractional coordinates):
Nb 0.0000 0.0000 0.5000
Nb 0.0000 0.5000 0.0000
Nb 0.5000 0.0000 0.0000
Co 0.5000 0.5000 0.5000
Sn 0.0000 0.0000 0.0000

x) Computed, not measured: a relaxed structure of Nb3CoSn at the PBE level of DFT.

Computed properties:
Size of the total moment   0.00 μB per formula unit
Space group   Pm-3m, No. 221

Cell: 4.6255 4.6255 4.6255 Å, 90.00 90.00 90.00°
Atoms (fractional coordinates):
Nb 0.0000 0.0000 0.5000
Nb 0.0000 0.5000 0.0000
Nb 0.5000 0.0000 0.0000
Co 0.0000 0.0000 0.0000
Sn 0.5000 0.5000 0.5000

Short version: w) is the least stable of them.

w) Computed, not measured: a relaxed structure of SrNb3Co at the PBE level of DFT.

Computed properties:
Size of the total moment   0.00 μB per formula unit
Space group   Pm-3m, No. 221

Cell: 4.7937 4.7937 4.7937 Å, 90.00 90.00 90.00°
Atoms (fractional coordinates):
Sr 0.0000 0.0000 0.0000
Nb 0.0000 0.5000 0.5000
Nb 0.5000 0.0000 0.5000
Nb 0.5000 0.5000 0.0000
Co 0.5000 0.5000 0.5000

x) Computed, not measured: a relaxed structure of SrNb3Co at the PBE level of DFT.

Computed properties:
Size of the total moment   0.01 μB per formula unit
Space group   Pm-3m, No. 221

Cell: 4.7843 4.7843 4.7843 Å, 90.00 90.00 90.00°
Atoms (fractional coordinates):
Sr 0.0000 0.0000 0.0000
Nb 0.0000 0.0000 0.5000
Nb 0.0000 0.5000 0.0000
Nb 0.5000 0.0000 0.0000
Co 0.5000 0.5000 0.5000

Short version: x) is the least stable of them.

w) Computed, not measured: a relaxed structure of SrNbCo2 at the PBE level of DFT.

Computed properties:
Size of the total moment   1.07 μB per formula unit
Space group   Fm-3m, No. 225

Cell: 4.6390 4.6390 4.6390 Å, 60.00 60.00 60.00°
Atoms (fractional coordinates):
Sr 0.0000 0.0000 0.0000
Nb 0.5000 0.5000 0.5000
Co 0.2500 0.2500 0.2500
Co 0.7500 0.7500 0.7500

x) Computed, not measured: a relaxed structure of SrNbCo2 at the PBE level of DFT.

Computed properties:
Size of the total moment   0.00 μB per formula unit
Space group   I-42d, No. 122

Cell: 5.9508 5.9508 5.9508 Å, 106.43 106.43 115.74°
Atoms (fractional coordinates):
Sr 0.0000 0.0000 0.0000
Sr 0.7500 0.2500 0.5000
Nb 0.2500 0.7500 0.5000
Nb 0.5000 0.5000 0.0000
Co 0.1858 0.1250 0.5608
Co 0.3750 0.8142 0.9392
Co 0.5642 0.6250 0.4392
Co 0.8750 0.4358 0.0608

Short version: x) is the least stable of them.

w) Computed, not measured: a relaxed structure of TaNbCo2 at the PBE level of DFT.

Computed properties:
Size of the total moment   0.00 μB per formula unit
Space group   P2_1/m, No. 11

Cell: 5.0067 3.9742 6.1063 Å, 90.00 107.82 90.00°
Atoms (fractional coordinates):
Ta 0.2170 0.2500 0.4299
Ta 0.7830 0.7500 0.5701
Nb 0.2163 0.2500 0.9282
Nb 0.7837 0.7500 0.0718
Co 0.3226 0.7500 0.2081
Co 0.3233 0.7500 0.7031
Co 0.6767 0.2500 0.2969
Co 0.6774 0.2500 0.7919

x) Computed, not measured: a relaxed structure of TaNbCo2 at the PBE level of DFT.

Computed properties:
Size of the total moment   0.00 μB per formula unit
Space group   P4/mmm, No. 123

Cell: 2.9563 2.9563 6.6181 Å, 90.00 90.00 90.00°
Atoms (fractional coordinates):
Ta 0.0000 0.0000 0.0000
Nb 0.0000 0.0000 0.5000
Co 0.5000 0.5000 0.2185
Co 0.5000 0.5000 0.7815

y) Computed, not measured: a relaxed structure of TaNbCo2 at the PBE level of DFT.

Computed properties:
Size of the total moment   0.00 μB per formula unit
Space group   R-3m, No. 166

Cell: 7.2161 7.2161 7.2161 Å, 25.37 25.37 25.37°
Atoms (fractional coordinates):
Ta 0.0000 0.0000 0.0000
Nb 0.5000 0.5000 0.5000
Co 0.2500 0.2500 0.2500
Co 0.7500 0.7500 0.7500

Short version: y) is the least stable of them.